Run a
Material: PmReTc2
Method: DFT, GGA-PBE
State: relaxed

The structure belongs to space group R-3m (No. 166, hexagonal axes); the cell edges are 4.3440, 4.3440 and 15.7586 Å and the angles 90.00°, 90.00° and 120.00°. The distinct sites, in fractional coordinates, are Pm at (0.0000, 0.0000, 0.0000), Re at (0.0000, 0.0000, 0.5000) and Tc at (0.0000, 0.0000, 0.1974).

Its theoretical density is 10.2 g/cm³.



Run b
Material: PmReTc2
Method: DFT, GGA-PBE
State: relaxed

The structure belongs to space group Fddd (No. 70, origin choice 2); the cell edges are 6.762, 6.772 and 17.074 Å and the angles 90.00°, 90.00° and 90.00°. The distinct sites, in fractional coordinates, are Pm at (0.125, 0.125, 0.125), Re at (0.125, 0.125, 0.625) and Tc at (0.000, 0.000, 0.500).

Its theoretical density is 9.0 g/cm³.



run a is the most stable structure; the next one sits 0.565 eV/atom above it.



Run a
Material: PmReW
Method: DFT, GGA-PBE
State: relaxed

The structure belongs to space group C2/m (No. 12); the cell edges are 9.907, 3.130 and 8.453 Å and the angles 90.00°, 102.05° and 90.00°. The distinct sites, in fractional coordinates, are Pm at (0.159, 0.000, 0.137), Re at (0.139, 0.500, 0.452) and W at (0.084, 0.000, 0.676).

Its theoretical density is 13.3 g/cm³.



Run b
Material: PmReW
Method: DFT, GGA-PBE
State: relaxed

The structure belongs to space group Imma (No. 74); the cell edges are 5.522, 5.595 and 7.790 Å and the angles 90.00°, 90.00° and 90.00°. The distinct sites, in fractional coordinates, are Pm at (0.000, 0.250, 0.123), Re at (0.250, 0.250, 0.750) and W at (0.000, 0.000, 0.500).

Its theoretical density is 14.2 g/cm³.



run b is the most stable structure; the next one sits 0.344 eV/atom above it.



Run a
Material: Pm4Rh
Method: DFT, GGA-PBE
State: relaxed

The structure belongs to space group I-42d (No. 122); the cell edges are 8.721, 8.721 and 8.403 Å and the angles 90.00°, 90.00° and 90.00°. The distinct sites, in fractional coordinates, are Pm at (0.003, 0.199, 0.334) and Rh at (0.000, 0.000, 0.000).

Its theoretical density is 7.1 g/cm³.



Run b
Material: Pm4Rh
Method: DFT, GGA-PBE
State: relaxed

The structure belongs to space group Pm-3m (No. 221); the cell edges are 5.559, 5.559 and 5.559 Å and the angles 90.00°, 90.00° and 90.00°. The distinct sites, in fractional coordinates, are Pm at (0.000, 0.000, 0.000), Pm at (0.000, 0.500, 0.500) and Rh at (0.500, 0.500, 0.500).

Its theoretical density is 6.6 g/cm³.



run a is the most stable structure; the next one sits 0.154 eV/atom above it.



Run a
Material: Pm3Rh
Method: DFT, GGA-PBE
State: relaxed

The structure belongs to space group P4_2/n (No. 86, origin choice 2); the cell edges are 11.897, 11.897 and 6.456 Å and the angles 90.00°, 90.00° and 90.00°. The distinct sites, in fractional coordinates, are Pm at (0.036, 0.592, 0.199), Pm at (0.115, 0.670, 0.695), Pm at (0.120, 0.190, 0.019) and Rh at (0.064, 0.178, 0.499).

Its theoretical density is 7.8 g/cm³.



Run b
Material: Pm3Rh
Method: DFT, GGA-PBE
State: relaxed

The structure belongs to space group Pmm2 (No. 25); the cell edges are 3.536, 3.708 and 9.353 Å and the angles 90.00°, 90.00° and 90.00°. The distinct sites, in fractional coordinates, are Pm at (0.000, 0.000, 0.000), Pm at (0.000, 0.500, 0.341), Pm at (0.500, 0.500, 0.713) and Rh at (0.500, 0.000, 0.486).

Its theoretical density is 7.3 g/cm³.



run a is the most stable structure; the next one sits 0.228 eV/atom above it.



Run a
Material: Pm3Rh
Method: DFT, GGA-PBE
State: relaxed

The structure belongs to space group I4/mmm (No. 139); the cell edges are 4.021, 4.021 and 15.754 Å and the angles 90.00°, 90.00° and 90.00°. The distinct sites, in fractional coordinates, are Pm at (0.000, 0.000, 0.000), Pm at (0.000, 0.000, 0.325) and Rh at (0.000, 0.000, 0.500).

Its theoretical density is 7.0 g/cm³.



Run b
Material: Pm3Rh
Method: DFT, GGA-PBE
State: relaxed

The structure belongs to space group Imm2 (No. 44); the cell edges are 3.733, 10.904 and 5.570 Å and the angles 90.00°, 90.00° and 90.00°. The distinct sites, in fractional coordinates, are Pm at (0.000, 0.000, 0.000), Pm at (0.000, 0.198, 0.501) and Rh at (0.000, 0.500, 0.032).

Its theoretical density is 7.9 g/cm³.



Run c
Material: Pm3Rh
Method: DFT, GGA-PBE
State: relaxed

The structure belongs to space group I-42m (No. 121); the cell edges are 11.990, 11.990 and 6.238 Å and the angles 90.00°, 90.00° and 90.00°. The distinct sites, in fractional coordinates, are Pm at (0.000, 0.358, 0.000), Pm at (0.093, 0.093, 0.750), Pm at (0.202, 0.202, 0.308) and Rh at (0.000, 0.302, 0.500).

Its theoretical density is 8.0 g/cm³.



run c is the most stable structure; the next one sits 0.040 eV/atom above it.



Run a
Material: PmRh2
Method: DFT, GGA-PBE
State: relaxed

The structure belongs to space group I4/mmm (No. 139); the cell edges are 3.539, 3.539 and 9.366 Å and the angles 90.00°, 90.00° and 90.00°. The distinct sites, in fractional coordinates, are Pm at (0.000, 0.000, 0.000) and Rh at (0.000, 0.000, 0.304).

Its theoretical density is 9.9 g/cm³.



Run b
Material: PmRh2
Method: DFT, GGA-PBE
State: relaxed

The structure belongs to space group Fd-3m (No. 227, origin choice 2); the cell edges are 7.637, 7.637 and 7.637 Å and the angles 90.00°, 90.00° and 90.00°. The distinct sites, in fractional coordinates, are Pm at (0.125, 0.125, 0.125) and Rh at (0.000, 0.000, 0.500).

Its theoretical density is 10.5 g/cm³.



run b is the most stable structure; the next one sits 0.437 eV/atom above it.



Run a
Material: Pm3RuRh
Method: DFT, GGA-PBE
State: relaxed

The structure belongs to space group P2_1/c (No. 14); the cell edges are 8.436, 6.410 and 10.184 Å and the angles 90.00°, 113.81° and 90.00°. The distinct sites, in fractional coordinates, are Pm at (0.135, 0.012, 0.299), Pm at (0.292, 0.502, 0.521), Pm at (0.320, 0.520, 0.180), Ru at (0.459, 0.676, 0.930) and Rh at (0.005, 0.237, 0.507).

Its theoretical density is 8.4 g/cm³.



Run b
Material: Pm3RuRh
Method: DFT, GGA-PBE
State: relaxed

The structure belongs to space group C2/c (No. 15); the cell edges are 18.673, 8.351 and 6.927 Å and the angles 90.00°, 111.50° and 90.00°. The distinct sites, in fractional coordinates, are Pm at (0.048, 0.245, 0.045), Pm at (0.144, 0.388, 0.687), Pm at (0.189, 0.036, 0.440), Ru at (0.214, 0.301, 0.164), Rh at (0.000, 0.004, 0.250) and Rh at (0.000, 0.500, 0.250).

Its theoretical density is 8.4 g/cm³.



run a is the most stable structure; the next one sits 0.013 eV/atom above it.



Run a
Material: Pm4RuRh
Method: DFT, GGA-PBE
State: relaxed

The structure belongs to space group C2/c (No. 15); the cell edges are 9.084, 13.438 and 6.437 Å and the angles 90.00°, 124.69° and 90.00°. The distinct sites, in fractional coordinates, are Pm at (0.133, 0.176, 0.103), Pm at (0.197, 0.434, 0.267), Ru at (0.000, 0.003, 0.750) and Rh at (0.000, 0.364, 0.750).

Its theoretical density is 8.1 g/cm³.



Run b
Material: Pm4RuRh
Method: DFT, GGA-PBE
State: relaxed

The structure belongs to space group P2_1/c (No. 14); the cell edges are 6.986, 6.990 and 6.991 Å and the angles 90.00°, 90.99° and 90.00°. The distinct sites, in fractional coordinates, are Pm at (0.161, 0.164, 0.168), Pm at (0.334, 0.663, 0.158), Ru at (0.000, 0.000, 0.500) and Rh at (0.500, 0.000, 0.000).

Its theoretical density is 7.6 g/cm³.



run a is the most stable structure; the next one sits 0.037 eV/atom above it.



Run a
Material: PmSmRuRh
Method: DFT, GGA-PBE
State: relaxed

The structure belongs to space group F-43m (No. 216); the cell edges are 6.990, 6.990 and 6.990 Å and the angles 90.00°, 90.00° and 90.00°. The distinct sites, in fractional coordinates, are Pm at (0.000, 0.000, 0.000), Sm at (0.000, 0.000, 0.500), Ru at (0.250, 0.250, 0.750) and Rh at (0.250, 0.250, 0.250).

Its theoretical density is 9.7 g/cm³.



Run b
Material: PmSmRuRh
Method: DFT, GGA-PBE
State: relaxed

The structure belongs to space group P4mm (No. 99); the cell edges are 3.496, 3.496 and 6.967 Å and the angles 90.00°, 90.00° and 90.00°. The distinct sites, in fractional coordinates, are Pm at (0.000, 0.000, 0.000), Sm at (0.000, 0.000, 0.493), Ru at (0.500, 0.500, 0.248) and Rh at (0.500, 0.500, 0.745).

Its theoretical density is 9.7 g/cm³.



run b is the most stable structure; the next one sits 0.022 eV/atom above it.



Run a
Material: PmTmRuRh
Method: DFT, GGA-PBE
State: relaxed

The structure belongs to space group P4mm (No. 99); the cell edges are 3.433, 3.433 and 6.859 Å and the angles 90.00°, 90.00° and 90.00°. The distinct sites, in fractional coordinates, are Pm at (0.000, 0.000, 0.000), Tm at (0.000, 0.000, 0.508), Ru at (0.500, 0.500, 0.745) and Rh at (0.500, 0.500, 0.266).

Its theoretical density is 10.6 g/cm³.



Run b
Material: PmTmRuRh
Method: DFT, GGA-PBE
State: relaxed

The structure belongs to space group F-43m (No. 216); the cell edges are 6.872, 6.872 and 6.872 Å and the angles 90.00°, 90.00° and 90.00°. The distinct sites, in fractional coordinates, are Pm at (0.000, 0.000, 0.000), Tm at (0.000, 0.000, 0.500), Ru at (0.250, 0.250, 0.750) and Rh at (0.250, 0.250, 0.250).

Its theoretical density is 10.6 g/cm³.



run a is the most stable structure; the next one sits 0.019 eV/atom above it.



Run a
Material: PmYRuRh
Method: DFT, GGA-PBE
State: relaxed

The structure belongs to space group F-43m (No. 216); the cell edges are 6.929, 6.929 and 6.929 Å and the angles 90.00°, 90.00° and 90.00°. The distinct sites, in fractional coordinates, are Pm at (0.000, 0.000, 0.000), Y at (0.000, 0.000, 0.500), Ru at (0.250, 0.250, 0.750) and Rh at (0.250, 0.250, 0.250).

Its theoretical density is 8.7 g/cm³.



Run b
Material: PmYRuRh
Method: DFT, GGA-PBE
State: relaxed

The structure belongs to space group P4mm (No. 99); the cell edges are 3.464, 3.464 and 6.909 Å and the angles 90.00°, 90.00° and 90.00°. The distinct sites, in fractional coordinates, are Pm at (0.000, 0.000, 0.000), Y at (0.000, 0.000, 0.492), Ru at (0.500, 0.500, 0.250) and Rh at (0.500, 0.500, 0.741).

Its theoretical density is 8.8 g/cm³.



run b is the most stable structure; the next one sits 0.018 eV/atom above it.